# 1
The following is a PBE calculation of a relaxed Hf2Ti4Sn crystal, from the Alexandria database.

N(E_F) = 10.394 states/eV/f.u.
uncorrected energy = -103.49 eV/cell
polymorph energy (0 for the lowest one) = 0.5440 eV/atom

a b c (Å): 5.3010 12.1744 4.7034
angles (deg): 90.00 90.00 90.00
Closest atoms and distances in Å follow each position.
Space group Cmmm (No. 65)
One atom of each set of equivalent atoms:
Hf 0.0000 0.1277 0.0000 x4  5 Ti 2.65-2.94
Ti 0.0000 0.2731 0.5000 x4  4 Ti 2.62-2.71, 1 Sn 2.76
Ti 0.0000 0.3684 0.0000 x4  2 Ti 2.62, 3 Hf 2.65-2.93, 2 Sn 2.85
Sn 0.0000 0.5000 0.5000 x2  6 Ti 2.76-2.85

# 2
The following is a PBE calculation of a relaxed Hf2Ti5Sn3 crystal, from the Alexandria database.

N(E_F) = 10.652 states/eV/f.u.
uncorrected energy = -283.66 eV/cell

a b c (Å): 10.6686 13.9792 5.6132
angles (deg): 90.00 90.00 90.00
Closest atoms and distances in Å follow each position.
Space group Ibam (No. 72)
One atom of each set of equivalent atoms:
Hf 0.1291 0.2065 0.0000 x8  4 Sn 2.92-3.11, 2 Ti 2.94-3.12
Ti 0.0000 0.0000 0.2500 x4  4 Ti 2.68-2.81, 4 Sn 2.98
Ti 0.0845 0.3390 0.5000 x8  3 Sn 2.72-2.80, 1 Hf 2.94
Ti 0.2489 0.5000 0.2500 x8  3 Sn 2.66-2.76, 3 Ti 2.68-2.81
Sn 0.0000 0.5000 0.2500 x4  6 Ti 2.66-2.80, 2 Sn 2.81
Sn 0.1479 0.1506 0.5000 x8  5 Ti 2.72-2.98, 2 Hf 2.92

Number 1: ΔE_f 0.5350 eV per atom. Number 2: ΔE_f 0.0475 eV per atom.